# 1
VASP calculation (PBE-GGA) on a relaxed BaCeMnSe4 crystal.

a b c (Å): 6.776 16.393 6.871
angles (deg): 90.00 90.00 90.00
Space group Cmcm (No. 63)
Symmetry-distinct sites (fractional):
Ba  0.000  0.108  0.250 [4 per cell]
Ce  0.000  0.382  0.250 [4 per cell]
Mn  0.000  0.231  0.750 [4 per cell]
Se  0.000  0.082  0.750 [4 per cell]
Se  0.000  0.441  0.750 [4 per cell]
Se  0.250  0.250  0.000 [8 per cell]

* total DFT energy (no corrections): -5.72 eV/atom

# 2
VASP calculation (PBE-GGA) on a relaxed Ba2CeMo2N6 crystal.

a b c (Å): 10.859 6.192 7.272
angles (deg): 90.00 122.18 90.00
Space group C2/m (No. 12)
Symmetry-distinct sites (fractional):
Ba  0.211  0.000  0.186 [4 per cell]
Ce  0.000  0.000  0.500 [2 per cell]
Mo  0.044  0.500  0.216 [4 per cell]
N  0.045  0.252  0.772 [8 per cell]
N  0.243  0.500  0.367 [4 per cell]

* total DFT energy (no corrections): -8.21 eV/atom

# 3
VASP calculation (PBE-GGA) on a relaxed BaCe2MoN4 crystal.

a b c (Å): 3.584 12.535 12.366
angles (deg): 90.00 90.00 90.00
Space group Cmcm (No. 63)
Symmetry-distinct sites (fractional):
Ba  0.000  0.076  0.250 [4 per cell]
Ce  0.000  0.368  0.044 [8 per cell]
Mo  0.000  0.183  0.750 [4 per cell]
N  0.000  0.000  0.000 [4 per cell]
N  0.000  0.251  0.608 [8 per cell]
N  0.000  0.399  0.250 [4 per cell]

* total DFT energy (no corrections): -8.24 eV/atom

| no. | ρ (g/cm3) | raw formation energy (eV/atom) |
| --- | --- | --- |
| 1 | 5.64 | -1.297 |
| 2 | 5.54 | -0.812 |
| 3 | 6.81 | -1.004 |